[1]
Here is a relaxed structure of MnOsW from Alexandria. Energies are from PBE.

Cell and atoms, written as CIF:
```
data_MnOsW
_chemical_formula_sum 'Mn2 Os2 W2'
_cell_length_a 3.109
_cell_length_b 3.109
_cell_length_c 9.011
_cell_angle_alpha 90.00
_cell_angle_beta 90.00
_cell_angle_gamma 90.00
_space_group_name_H-M_alt 'I 4 m m'
_space_group_IT_number 107
_space_group_name_Hall 'I 4 -2'
loop_
_atom_site_label
_atom_site_type_symbol
_atom_site_fract_x
_atom_site_fract_y
_atom_site_fract_z
Mn1 Mn 0.000 0.000 0.000
Os1 Os 0.000 0.000 0.331
W1 W 0.000 0.000 0.663
```

Values from the calculation:
Excess energy over the best structure of this formula in the dataset   18 meV per atom
Calculated total energy   -65.9 eV per cell
Magnetic moment   6.2 μB/cell
Energy relative to the elements   0.126 eV per atom

---

[2]
Here is a relaxed structure of NdCu2Au10 from Alexandria. Energies are from PBE.

Cell and atoms, written as CIF:
```
data_NdCu2Au10
_chemical_formula_sum 'Nd4 Cu8 Au40'
_cell_length_a 5.453
_cell_length_b 13.191
_cell_length_c 13.533
_cell_angle_alpha 90.00
_cell_angle_beta 90.00
_cell_angle_gamma 90.00
_space_group_name_H-M_alt 'F m m m'
_space_group_IT_number 69
_space_group_name_Hall '-F 2 2'
loop_
_atom_site_label
_atom_site_type_symbol
_atom_site_fract_x
_atom_site_fract_y
_atom_site_fract_z
Nd1 Nd 0.000 0.000 0.000
Cu1 Cu 0.250 0.250 0.000
Au1 Au 0.000 0.112 0.397
Au2 Au 0.000 0.178 0.163
Au3 Au 0.250 0.000 0.250
```

Values from the calculation:
Calculated total energy   -194.3 eV per cell
Magnetic moment   0.0 μB/cell
Energy relative to the elements   -0.218 eV per atom

---

Question: energy relative to the elements of number 2 (NdCu2Au10)?
Answer: -0.218 eV per atom